Record 1
MgP4Rh6 | GGA-PBEsol | optimized geometry

Structure (POSCAR):
```
MgP4Rh6
1.0
-1.116 -3.323 -0.305
0.771 0.379 -6.938
5.317 -2.153 3.995
P Rh Mg
4 6 1
Direct
0.000 0.333 0.667
0.500 0.376 0.188
0.500 0.812 0.188
0.500 0.812 0.624
0.000 0.534 0.466
0.000 0.534 0.068
0.500 0.614 0.807
0.000 0.932 0.466
0.500 0.193 0.807
0.500 0.193 0.386
0.000 0.000 0.000
```

Values from the calculation:
E, eV/atom: -7.500
D(E_F), states/eV per atom: 0.4495
Calculated volume, Å³/cell: 148.90
Magnetic moment, μB/f.u.: 0.0

---

Record 2
K3PtF | GGA-PBEsol | optimized geometry

Structure (POSCAR):
```
K3PtF
1.0
-0.800 -4.914 -0.809
4.179 -0.217 -2.816
2.709 -1.117 4.106
K Pt F
3 1 1
Direct
0.000 0.000 0.500
0.000 0.500 0.000
0.500 0.000 0.000
0.500 0.500 0.500
0.000 0.000 0.000
```

Values from the calculation:
E, eV/atom: -3.438
Uncorrected formation energy, eV per atom: -0.980
Calculated volume, Å³/cell: 128.34
Magnetic moment, μB/f.u.: 0.2

---

Record 3
KCaO2F | GGA-PBEsol | optimized geometry

Structure (POSCAR):
```
KCaO2F
1.0
4.444 0.000 0.000
0.000 4.477 0.000
0.000 0.000 4.477
O F Ca K
2 1 1 1
Direct
0.000 0.000 0.500
0.000 0.500 0.000
0.500 0.000 0.000
0.000 0.000 0.000
0.500 0.500 0.500
```

Values from the calculation:
E, eV/atom: -4.884
Uncorrected formation energy, eV per atom: -1.745
D(E_F), states/eV per atom: 1.3067
Calculated volume, Å³/cell: 89.06
Magnetic moment, μB/f.u.: 2.0

---

Record 4
SnPO4 | GGA-PBEsol | optimized geometry

Structure (POSCAR):
```
SnPO4
1.0
-0.409 -0.503 -4.772
4.258 -6.665 0.338
-15.179 -9.579 2.310
O Sn P
32 8 8
Direct
0.233 0.241 0.460
0.409 0.226 0.855
0.302 0.449 0.954
0.733 0.759 0.540
0.796 0.123 0.610
0.233 0.741 0.040
0.259 0.769 0.867
0.814 0.936 0.855
0.743 0.345 0.487
0.409 0.726 0.645
0.296 0.377 0.110
0.928 0.206 0.739
0.259 0.269 0.633
0.802 0.551 0.046
0.909 0.274 0.355
0.733 0.259 0.960
0.302 0.949 0.546
0.743 0.845 0.013
0.428 0.294 0.239
0.314 0.564 0.355
0.243 0.655 0.513
0.296 0.877 0.390
0.314 0.064 0.145
0.909 0.774 0.145
0.243 0.155 0.987
0.796 0.623 0.890
0.428 0.794 0.261
0.928 0.706 0.761
0.759 0.731 0.367
0.814 0.436 0.645
0.802 0.051 0.454
0.759 0.231 0.133
0.979 0.315 0.044
0.057 0.448 0.273
0.479 0.685 0.956
0.557 0.052 0.773
0.479 0.185 0.544
0.979 0.815 0.456
0.557 0.552 0.727
0.057 0.948 0.227
0.926 0.233 0.437
0.447 0.238 0.158
0.447 0.738 0.342
0.947 0.262 0.658
0.426 0.767 0.563
0.926 0.733 0.063
0.947 0.762 0.842
0.426 0.267 0.937
```

Values from the calculation:
E, eV/atom: -7.071
Uncorrected formation energy, eV per atom: -1.896
D(E_F), states/eV per atom: 0.0000
Calculated volume, Å³/cell: 689.89
Magnetic moment, μB/f.u.: 0.0

---

Record 5
SrIn2S2 | GGA-PBEsol | optimized geometry

Structure (POSCAR):
```
SrIn2S2
1.0
-3.449 -2.232 3.263
5.250 1.379 2.274
0.172 4.242 3.083
S In Sr
2 2 1
Direct
0.750 0.500 0.750
0.250 0.500 0.250
0.654 0.308 0.346
0.346 0.692 0.654
0.000 0.000 0.000
```

Values from the calculation:
E, eV/atom: -3.966
Uncorrected formation energy, eV per atom: -0.651
D(E_F), states/eV per atom: 0.4431
Calculated volume, Å³/cell: 125.75
Magnetic moment, μB/f.u.: 0.0

---

Record 6
InTcW2 | GGA-PBEsol | optimized geometry

Structure (POSCAR):
```
InTcW2
1.0
2.866 0.000 0.000
1.433 2.482 0.000
1.433 0.827 9.199
In Tc W
1 1 2
Direct
0.503 0.503 0.492
0.255 0.255 0.235
0.746 0.746 0.761
0.996 0.996 0.012
```

Values from the calculation:
E, eV/atom: -10.087
D(E_F), states/eV per atom: 0.5681
Calculated volume, Å³/cell: 65.44
Magnetic moment, μB/f.u.: 0.0